Arrangement w

# Cr2FeRh

A relaxed Cr2FeRh crystal (PBE, Alexandria via LeMat-Bulk).

Cell lengths 4.365, 2.721, 4.428 Å; angles 90.00, 105.82, 90.00 degrees
Space group P2/m (No. 10)
Inequivalent atoms, fractional coordinates:
Cr (0.000, 0.000, 0.000)
Cr (0.500, 0.500, 0.000)
Fe (0.000, 0.500, 0.500)
Rh (0.500, 0.000, 0.500)

Arrangement x

# Cr2FeRh

A relaxed Cr2FeRh crystal (PBE, Alexandria via LeMat-Bulk).

Cell lengths 5.139, 7.314, 2.590 Å; angles 90.00, 90.00, 90.00 degrees
Space group Cmmm (No. 65)
Inequivalent atoms, fractional coordinates:
Cr (0.250, 0.250, 0.000)
Fe (0.000, 0.000, 0.500)
Rh (0.000, 0.500, 0.500)

How far above the most stable structure does each one sit? In kJ/mol of atoms: arrangement w 3.6; arrangement x 0.0.

Arrangement w

# CrFe2Rh2

A relaxed CrFe2Rh2 crystal (PBE, Alexandria via LeMat-Bulk).

Cell lengths 8.860, 4.628, 6.796 Å; angles 90.00, 111.46, 90.00 degrees
Space group C2/c (No. 15)
Inequivalent atoms, fractional coordinates:
Cr (0.000, 0.177, 0.250)
Fe (0.099, 0.344, 0.951)
Rh (0.194, 0.160, 0.650)

Arrangement x

# CrFe2Rh2

A relaxed CrFe2Rh2 crystal (PBE, Alexandria via LeMat-Bulk).

Cell lengths 6.931, 6.931, 2.650 Å; angles 90.00, 90.00, 90.00 degrees
Space group P4/mbm (No. 127)
Inequivalent atoms, fractional coordinates:
Cr (0.000, 0.000, 0.000)
Fe (0.117, 0.383, 0.000)
Rh (0.179, 0.679, 0.500)

How far above the most stable structure does each one sit? In kJ/mol of atoms: arrangement w 0.0; arrangement x 35.7.

Arrangement w

# Cr2FeRh2

A relaxed Cr2FeRh2 crystal (PBE, Alexandria via LeMat-Bulk).

Cell lengths 7.057, 7.057, 2.665 Å; angles 90.00, 90.00, 90.00 degrees
Space group P4/mbm (No. 127)
Inequivalent atoms, fractional coordinates:
Cr (0.169, 0.331, 0.000)
Fe (0.000, 0.000, 0.500)
Rh (0.131, 0.631, 0.500)

Arrangement x

# Cr2FeRh2

A relaxed Cr2FeRh2 crystal (PBE, Alexandria via LeMat-Bulk).

Cell lengths 7.019, 7.019, 2.671 Å; angles 90.00, 90.00, 90.00 degrees
Space group P4/mbm (No. 127)
Inequivalent atoms, fractional coordinates:
Cr (0.115, 0.385, 0.000)
Fe (0.000, 0.000, 0.000)
Rh (0.179, 0.679, 0.500)

Arrangement y

# Cr2FeRh2

A relaxed Cr2FeRh2 crystal (PBE, Alexandria via LeMat-Bulk).

Cell lengths 6.013, 12.034, 4.058 Å; angles 90.00, 116.08, 90.00 degrees
Space group C2/c (No. 15)
Inequivalent atoms, fractional coordinates:
Cr (0.139, 0.232, 0.122)
Fe (0.000, 0.413, 0.750)
Rh (0.190, 0.077, 0.600)

How far above the most stable structure does each one sit? In kJ/mol of atoms: arrangement w 14.6; arrangement x 12.7; arrangement y 0.0.

Arrangement w

# Cr2FeRu

A relaxed Cr2FeRu crystal (PBE, Alexandria via LeMat-Bulk).

Cell lengths 2.5920, 2.5920, 24.9804 Å; angles 90.00, 90.00, 120.00 degrees
Space group R-3m (No. 166, hexagonal axes)
Inequivalent atoms, fractional coordinates:
Cr (0.0000, 0.0000, 0.2464)
Fe (0.0000, 0.0000, 0.5000)
Ru (0.0000, 0.0000, 0.0000)

Arrangement x

# Cr2FeRu

A relaxed Cr2FeRu crystal (PBE, Alexandria via LeMat-Bulk).

Cell lengths 3.662, 3.662, 7.245 Å; angles 90.00, 90.00, 90.00 degrees
Space group I4/mmm (No. 139)
Inequivalent atoms, fractional coordinates:
Cr (0.000, 0.500, 0.250)
Fe (0.000, 0.000, 0.000)
Ru (0.000, 0.000, 0.500)

Arrangement y

# Cr2FeRu

A relaxed Cr2FeRu crystal (PBE, Alexandria via LeMat-Bulk).

Cell lengths 5.818, 5.818, 5.818 Å; angles 90.00, 90.00, 90.00 degrees
Space group Fm-3m (No. 225)
Inequivalent atoms, fractional coordinates:
Cr (0.250, 0.250, 0.250)
Fe (0.000, 0.000, 0.000)
Ru (0.000, 0.000, 0.500)

How far above the most stable structure does each one sit? In kJ/mol of atoms: arrangement w 9.2; arrangement x 0.0; arrangement y 7.1.

Arrangement w

# Cr2FeRu

A relaxed Cr2FeRu crystal (PBE, Alexandria via LeMat-Bulk).

Cell lengths 2.911, 2.911, 5.790 Å; angles 90.00, 90.00, 90.00 degrees
Space group P4mm (No. 99)
Inequivalent atoms, fractional coordinates:
Cr (0.000, 0.000, 0.000)
Cr (0.500, 0.500, 0.231)
Fe (0.000, 0.000, 0.460)
Ru (0.500, 0.500, 0.734)

Arrangement x

# Cr2FeRu

A relaxed Cr2FeRu crystal (PBE, Alexandria via LeMat-Bulk).

Cell lengths 2.927, 4.056, 8.268 Å; angles 90.00, 90.00, 90.00 degrees
Space group Immm (No. 71)
Inequivalent atoms, fractional coordinates:
Cr (0.000, 0.000, 0.244)
Fe (0.000, 0.500, 0.500)
Ru (0.000, 0.500, 0.000)

How far above the most stable structure does each one sit? In kJ/mol of atoms: arrangement w 0.0; arrangement x 2.1.

Arrangement w

# Cr2Fe2Ru

A relaxed Cr2Fe2Ru crystal (PBE, Alexandria via LeMat-Bulk).

Cell lengths 6.646, 6.646, 2.648 Å; angles 90.00, 90.00, 90.00 degrees
Space group P4/mbm (No. 127)
Inequivalent atoms, fractional coordinates:
Cr (0.169, 0.331, 0.000)
Fe (0.129, 0.629, 0.500)
Ru (0.000, 0.000, 0.500)

Arrangement x

# Cr2Fe2Ru

A relaxed Cr2Fe2Ru crystal (PBE, Alexandria via LeMat-Bulk).

Cell lengths 3.595, 3.595, 9.679 Å; angles 90.00, 90.00, 90.00 degrees
Space group I4/mmm (No. 139)
Inequivalent atoms, fractional coordinates:
Cr (0.000, 0.500, 0.250)
Fe (0.000, 0.000, 0.109)
Ru (0.000, 0.000, 0.500)

How far above the most stable structure does each one sit? In kJ/mol of atoms: arrangement w 0.0; arrangement x 31.3.

Arrangement w

# Cr3FeRu

A relaxed Cr3FeRu crystal (PBE, Alexandria via LeMat-Bulk).

Cell lengths 4.123, 4.123, 4.123 Å; angles 90.00, 90.00, 90.00 degrees
Space group Pm-3m (No. 221)
Inequivalent atoms, fractional coordinates:
Cr (0.000, 0.000, 0.500)
Fe (0.000, 0.000, 0.000)
Ru (0.500, 0.500, 0.500)

Arrangement x

# Cr3FeRu

A relaxed Cr3FeRu crystal (PBE, Alexandria via LeMat-Bulk).

Cell lengths 4.355, 4.355, 4.355 Å; angles 90.00, 90.00, 90.00 degrees
Space group Pm-3m (No. 221)
Inequivalent atoms, fractional coordinates:
Cr (0.000, 0.000, 0.500)
Fe (0.500, 0.500, 0.500)
Ru (0.000, 0.000, 0.000)

How far above the most stable structure does each one sit? In kJ/mol of atoms: arrangement w 0.0; arrangement x 69.8.

Arrangement w

# CrFe3S

A relaxed CrFe3S crystal (PBE, Alexandria via LeMat-Bulk).

Cell lengths 4.276, 4.276, 4.276 Å; angles 90.00, 90.00, 90.00 degrees
Space group Pm-3m (No. 221)
Inequivalent atoms, fractional coordinates:
Cr (0.000, 0.000, 0.000)
Fe (0.000, 0.000, 0.500)
S (0.500, 0.500, 0.500)

Arrangement x

# CrFe3S

A relaxed CrFe3S crystal (PBE, Alexandria via LeMat-Bulk).

Cell lengths 4.001, 4.001, 4.001 Å; angles 90.00, 90.00, 90.00 degrees
Space group Pm-3m (No. 221)
Inequivalent atoms, fractional coordinates:
Cr (0.000, 0.000, 0.000)
Fe (0.000, 0.500, 0.500)
S (0.500, 0.500, 0.500)

How far above the most stable structure does each one sit? In kJ/mol of atoms: arrangement w 49.6; arrangement x 0.0.